1.
VASP calculation (PBE) on a relaxed TcNi3Pt3 crystal.

abc: 5.2725 5.2725 7.3610
angles: 90.00 90.00 97.51
Atoms (fractional coordinates):
Ni (0.7094, 0.7094, 0.5000)
Ni (0.2141, 0.7859, 0.0000)
Ni (0.7859, 0.2141, 0.0000)
Ni (0.2906, 0.2906, 0.5000)
Ni (0.7578, 0.2422, 0.5000)
Ni (0.2422, 0.7578, 0.5000)
Pt (0.0000, 0.0000, 0.2623)
Pt (0.0000, 0.5000, 0.2486)
Pt (0.5000, 0.0000, 0.2486)
Pt (0.0000, 0.0000, 0.7377)
Pt (0.5000, 0.0000, 0.7514)
Pt (0.0000, 0.5000, 0.7514)
Tc (0.6709, 0.6709, 0.0000)
Tc (0.3291, 0.3291, 0.0000)

Summary:
The total magnetization comes out at 1.16 μB per formula unit. As for the distance to the lowest polymorph of the same formula: 145 meV per atom. As for the energy: -6.43 eV per atom. The symmetry is Cmmm (65). Its energy of formation from the pure elements is 79 kJ/mol of formula units.



2.
VASP calculation (PBE) on a relaxed Tc2NiPt crystal.

abc: 5.8953 4.7741 2.6658
angles: 89.98 63.16 119.43
Atoms (fractional coordinates):
Pt (0.5000, 0.5000, 0.0000)
Tc (0.0000, 0.0000, 0.0000)
Tc (0.5000, 0.0000, 0.5000)
Ni (0.0000, 0.5000, 0.5000)

Summary:
The total magnetization comes out at 0.00 μB per formula unit. As for the distance to the lowest polymorph of the same formula: 57 meV per atom. As for the energy: -8.15 eV per atom. The symmetry is Cmmm (65). Its energy of formation from the pure elements is -3 kJ/mol of formula units.



3.
VASP calculation (PBE) on a relaxed TcNiPt2 crystal.

abc: 8.8963 8.8963 8.8963
angles: 17.76 17.76 17.76
Atoms (fractional coordinates):
Pt (0.4980, 0.4980, 0.4980)
Pt (0.0020, 0.0020, 0.0020)
Ni (0.7500, 0.7500, 0.7500)
Tc (0.2500, 0.2500, 0.2500)

Summary:
The total magnetization comes out at 0.05 μB per formula unit. As for the distance to the lowest polymorph of the same formula: 91 meV per atom. As for the energy: -7.12 eV per atom. The symmetry is R-3m (166). Its energy of formation from the pure elements is -24 kJ/mol of formula units.